1.
## DyZn9Au3 (PBE)

Data for DyZn9Au3 after structural relaxation.

## Properties
E_form, eV/atom: -0.229

Cell and atoms, written as POSCAR:
```
DyZn9Au3
1.0
-2.922 -4.369 -1.732
0.413 -5.525 4.128
-6.488 -0.118 2.403
Dy Zn Au
1 9 3
Direct
0.000 0.000 0.000
0.720 0.786 0.791
0.280 0.214 0.209
0.488 0.214 0.791
0.512 0.786 0.209
0.646 0.359 0.353
0.354 0.641 0.647
0.001 0.641 0.353
0.999 0.359 0.647
0.000 0.500 0.000
0.500 0.500 0.000
0.000 0.000 0.500
0.500 0.000 0.500
```

2.
## Dy2Zn5Au4 (PBE)

Data for Dy2Zn5Au4 after structural relaxation.

## Properties
E_form, eV/atom: -0.486

Cell and atoms, written as POSCAR:
```
Dy2Zn5Au4
1.0
5.366 0.000 0.000
2.683 4.542 0.000
2.683 0.000 8.750
Dy Zn Au
2 5 4
Direct
0.876 0.000 0.248
0.124 0.000 0.752
0.500 0.000 0.000
0.000 0.500 0.000
0.500 0.500 0.000
0.250 0.500 0.500
0.750 0.500 0.500
0.469 0.322 0.740
0.531 0.678 0.260
0.209 0.322 0.260
0.791 0.678 0.740
```

3.
## DyZn11Au (PBE)

Data for DyZn11Au after structural relaxation.

## Properties
E_form, eV/atom: -0.200

Cell and atoms, written as POSCAR:
```
DyZn11Au
1.0
4.904 0.049 2.043
2.454 6.310 1.022
0.028 0.025 6.840
Dy Zn Au
1 11 1
Direct
0.000 0.000 0.000
0.277 0.213 0.219
0.723 0.787 0.781
0.504 0.787 0.219
0.496 0.213 0.781
0.351 0.648 0.643
0.649 0.352 0.357
0.007 0.352 0.643
0.993 0.648 0.357
0.000 0.500 0.000
0.500 0.000 0.500
0.000 0.000 0.500
0.500 0.500 0.000
```

4.
## DyZn5Au7 (PBE)

Data for DyZn5Au7 after structural relaxation.

## Properties
E_form, eV/atom: -0.350

Cell and atoms, written as POSCAR:
```
DyZn5Au7
1.0
-0.368 -4.155 3.313
5.042 -4.819 -1.202
3.627 1.039 5.988
Dy Zn Au
1 5 7
Direct
0.990 0.010 0.010
0.503 0.996 0.495
0.005 0.996 0.495
0.503 0.495 0.996
0.005 0.495 0.996
0.737 0.763 0.763
0.651 0.349 0.349
0.321 0.679 0.679
0.996 0.339 0.669
0.996 0.669 0.339
0.269 0.231 0.231
0.511 0.801 0.177
0.511 0.177 0.801
```